A relaxed structure of Zr2ReCl. Source: Alexandria via LeMat-Bulk, functional PBE-GGA.

Results
V = 20.85 Å³/atom
energy above the most stable polymorph in this dataset = 0.0 meV/atom
E = -8.483 eV/atom
M_tot = 0.001 μB/atom

Structure (POSCAR):
```
Zr2ReCl
1.0
3.311 0.000 0.000
0.000 3.227 0.000
-0.008 0.000 7.804
Zr Re Cl
2 1 1
Direct
0.000 0.000 0.207
0.000 0.000 0.793
0.500 0.500 0.000
0.000 0.500 0.500
```

=====

A relaxed structure of Al2ReMo. Source: Alexandria via LeMat-Bulk, functional PBE-GGA.

Results
V = 14.77 Å³/atom
energy above the most stable polymorph in this dataset = 125.2 meV/atom
E = -7.875 eV/atom
M_tot = 0.000 μB/atom

Structure (POSCAR):
```
Al2ReMo
1.0
6.182 0.000 0.000
0.000 6.182 0.000
0.000 0.000 6.182
Al Re Mo
8 4 4
Direct
0.000 0.000 0.000
0.000 0.500 0.500
0.250 0.250 0.250
0.250 0.750 0.750
0.500 0.000 0.500
0.500 0.500 0.000
0.750 0.250 0.750
0.750 0.750 0.250
0.000 0.000 0.500
0.000 0.500 0.000
0.500 0.000 0.000
0.500 0.500 0.500
0.250 0.250 0.750
0.250 0.750 0.250
0.750 0.250 0.250
0.750 0.750 0.750
```